[1]
Below is an optimized crystal structure of NaTm2Zr, with properties calculated at the PBE level.

Output
- Calculated formation energy: 0.114 eV per atom
- VASP energy: -4.588 eV/atom
- DOS at the Fermi energy: 3.2 states/eV/f.u.

Cell lengths 3.3929, 3.3929, 10.2390 Å; angles 90.00, 90.00, 90.00 degrees
With the nearest neighbours (Å) after each atom.
Atoms (fractional coordinates):
Na1 0.0000 0.0000 0.0000  4 Na 3.39, 8 Tm 3.78
Tm1 0.5000 0.5000 0.2859  4 Zr 3.25, 4 Tm 3.39
Tm2 0.5000 0.5000 0.7141  4 Zr 3.25, 4 Tm 3.39
Zr1 0.0000 0.0000 0.5000  8 Tm 3.25, 4 Zr 3.39


[2]
Below is an optimized crystal structure of NaU4, with properties calculated at the PBE level.

Output
- Calculated formation energy: 2.199 eV per atom
- VASP energy: -7.095 eV/atom
- DOS at the Fermi energy: 29.6 states/eV/f.u.

Cell lengths 5.1679, 5.1679, 5.1679 Å; angles 90.00, 90.00, 90.00 degrees
With the nearest neighbours (Å) after each atom.
Atoms (fractional coordinates):
Na1 0.0000 0.0000 0.0000  6 U 2.58
U1 0.0000 0.0000 0.5000  2 Na 2.58
U2 0.0000 0.5000 0.0000  2 Na 2.58
U3 0.5000 0.0000 0.0000  2 Na 2.58
U4 0.5000 0.5000 0.5000  12 U 3.65